SrNdFeO4: relaxed, GGA-PBEsol.

Structure (POSCAR):
```
SrNdFeO4
1.0
-3.055 -2.081 -0.542
0.885 -0.358 -3.612
4.355 -3.921 3.387
Sr Nd Fe O
1 1 1 4
Cartesian
2.337 -3.674 0.936
-0.165 -2.666 -1.708
2.180 -6.353 -0.768
1.072 -1.686 0.430
1.050 -4.577 -1.221
0.483 -0.242 -1.790
-1.487 -1.104 -0.255
```

Values from the calculation:
uncorrected formation energy = -2.53 eV/atom
energy = -7.812 eV/atom